No. 1
First-principles (PBE) data for an optimized crystal structure of La3PrGe2N, as listed in Alexandria.

Formation energy without anion corrections = -0.8699 eV per atom
Fermi-level density of states = 0.63 states/eV per atom

Unit cell a=4.886 b=4.928 c=16.057 alpha=90.00 beta=90.00 gamma=90.00
Space group Immm (No. 71)
Inequivalent atoms, fractional coordinates:
La1 0.000 0.000 0.000 [2 per cell]
La2 0.000 0.500 0.329 [4 per cell]
Pr1 0.000 0.000 0.500 [2 per cell]
Ge1 0.000 0.500 0.136 [4 per cell]
N1 0.000 0.500 0.500 [2 per cell]

=====

No. 2
First-principles (PBE) data for an optimized crystal structure of LaPrGeN, as listed in Alexandria.

Formation energy without anion corrections = -0.9059 eV per atom
Fermi-level density of states = 0.72 states/eV per atom

Unit cell a=4.707 b=4.707 c=9.064 alpha=90.00 beta=90.00 gamma=90.00
Space group P4/nmm (No. 129, origin choice 2)
Inequivalent atoms, fractional coordinates:
La1 0.250 0.750 0.000 [2 per cell]
Pr1 0.250 0.250 0.344 [2 per cell]
Ge1 0.250 0.250 0.696 [2 per cell]
N1 0.250 0.250 0.090 [2 per cell]

=====

No. 3
First-principles (PBE) data for an optimized crystal structure of La2Pu4Ge3N2, as listed in Alexandria.

Formation energy without anion corrections = -0.7990 eV per atom
Fermi-level density of states = 2.04 states/eV per atom

Unit cell a=4.594 b=4.594 c=24.759 alpha=90.00 beta=90.00 gamma=90.00
Space group I4/mmm (No. 139)
Inequivalent atoms, fractional coordinates:
La1 0.000 0.000 0.198 [4 per cell]
Pu1 0.000 0.500 0.081 [8 per cell]
Ge1 0.000 0.000 0.330 [4 per cell]
Ge2 0.000 0.000 0.500 [2 per cell]
N1 0.000 0.000 0.098 [4 per cell]

=====

No. 4
First-principles (PBE) data for an optimized crystal structure of LaReGeN2, as listed in Alexandria.

Formation energy without anion corrections = -0.0079 eV per atom
Energy relative to the lowest polymorph listed for this composition = 0 meV per atom
Fermi-level density of states = 0.52 states/eV per atom

Unit cell a=4.043 b=4.043 c=4.952 alpha=90.00 beta=90.00 gamma=90.00
Space group P4/mmm (No. 123)
Inequivalent atoms, fractional coordinates:
La1 0.000 0.000 0.000 [1 per cell]
Re1 0.500 0.500 0.500 [1 per cell]
Ge1 0.500 0.500 0.000 [1 per cell]
N1 0.000 0.500 0.500 [2 per cell]

=====

No. 5
First-principles (PBE) data for an optimized crystal structure of LaReGeN2, as listed in Alexandria.

Formation energy without anion corrections = 1.1854 eV per atom
Energy relative to the lowest polymorph listed for this composition = 1193 meV per atom
Fermi-level density of states = 0.91 states/eV per atom

Unit cell a=4.138 b=4.138 c=4.743 alpha=90.00 beta=90.00 gamma=90.00
Space group P4/mmm (No. 123)
Inequivalent atoms, fractional coordinates:
La1 0.000 0.000 0.000 [1 per cell]
Re1 0.500 0.500 0.000 [1 per cell]
Ge1 0.500 0.500 0.500 [1 per cell]
N1 0.000 0.500 0.500 [2 per cell]

=====

No. 6
First-principles (PBE) data for an optimized crystal structure of LaGeRh2N, as listed in Alexandria.

Formation energy without anion corrections = -0.7700 eV per atom
Fermi-level density of states = 0.78 states/eV per atom

Unit cell a=3.741 b=12.125 c=7.317 alpha=90.00 beta=90.00 gamma=90.00
Space group Cmcm (No. 63)
Inequivalent atoms, fractional coordinates:
La1 0.000 0.036 0.250 [4 per cell]
Ge1 0.000 0.233 0.750 [4 per cell]
Rh1 0.000 0.336 0.048 [8 per cell]
N1 0.000 0.500 0.000 [4 per cell]

=====

No. 7
First-principles (PBE) data for an optimized crystal structure of LaGeRu2N, as listed in Alexandria.

Formation energy without anion corrections = 2.5631 eV per atom
Energy relative to the lowest polymorph listed for this composition = 3212 meV per atom
Fermi-level density of states = 1.22 states/eV per atom

Unit cell a=4.802 b=4.802 c=5.913 alpha=90.00 beta=90.00 gamma=90.00
Space group P4/mmm (No. 123)
Inequivalent atoms, fractional coordinates:
La1 0.000 0.000 0.000 [1 per cell]
Ge1 0.000 0.000 0.500 [1 per cell]
Ru1 0.000 0.500 0.000 [2 per cell]
N1 0.500 0.500 0.500 [1 per cell]

=====

No. 8
First-principles (PBE) data for an optimized crystal structure of LaGeRu2N, as listed in Alexandria.

Formation energy without anion corrections = -0.6485 eV per atom
Energy relative to the lowest polymorph listed for this composition = 0 meV per atom
Fermi-level density of states = 0.61 states/eV per atom

Unit cell a=3.972 b=11.398 c=7.329 alpha=90.00 beta=90.00 gamma=90.00
Space group Cmcm (No. 63)
Inequivalent atoms, fractional coordinates:
La1 0.000 0.050 0.250 [4 per cell]
Ge1 0.000 0.229 0.750 [4 per cell]
Ru1 0.000 0.338 0.055 [8 per cell]
N1 0.000 0.500 0.000 [4 per cell]

=====

No. 9
First-principles (PBE) data for an optimized crystal structure of La2Ge2Ru2N, as listed in Alexandria.

Formation energy without anion corrections = -0.7745 eV per atom
Fermi-level density of states = 0.55 states/eV per atom

Unit cell a=11.516 b=4.108 c=7.243 alpha=90.00 beta=127.04 gamma=90.00
Space group C2/m (No. 12)
Inequivalent atoms, fractional coordinates:
La1 0.057 0.000 0.292 [4 per cell]
Ge1 0.171 0.500 0.711 [4 per cell]
Ru1 0.191 0.500 0.076 [4 per cell]
N1 0.000 0.500 0.000 [2 per cell]

=====

No. 10
First-principles (PBE) data for an optimized crystal structure of LaGeS2N, as listed in Alexandria.

Formation energy without anion corrections = -0.5797 eV per atom
Energy relative to the lowest polymorph listed for this composition = 0 meV per atom
Fermi-level density of states = 0.39 states/eV per atom

Unit cell a=4.909 b=4.909 c=3.771 alpha=90.00 beta=90.00 gamma=90.00
Space group P4/mmm (No. 123)
Inequivalent atoms, fractional coordinates:
La1 0.000 0.000 0.000 [1 per cell]
Ge1 0.500 0.500 0.500 [1 per cell]
S1 0.000 0.500 0.500 [2 per cell]
N1 0.500 0.500 0.000 [1 per cell]

=====

No. 11
First-principles (PBE) data for an optimized crystal structure of LaGeS2N, as listed in Alexandria.

Formation energy without anion corrections = 0.3060 eV per atom
Energy relative to the lowest polymorph listed for this composition = 886 meV per atom
Fermi-level density of states = 0.87 states/eV per atom

Unit cell a=5.553 b=5.553 c=4.295 alpha=90.00 beta=90.00 gamma=90.00
Space group P4/mmm (No. 123)
Inequivalent atoms, fractional coordinates:
La1 0.000 0.000 0.000 [1 per cell]
Ge1 0.500 0.500 0.500 [1 per cell]
S1 0.000 0.500 0.000 [2 per cell]
N1 0.000 0.000 0.500 [1 per cell]

=====

No. 12
First-principles (PBE) data for an optimized crystal structure of LaSc2GeN, as listed in Alexandria.

Formation energy without anion corrections = -0.9645 eV per atom
Fermi-level density of states = 0.82 states/eV per atom

Unit cell a=4.465 b=4.465 c=5.034 alpha=90.00 beta=90.00 gamma=90.00
Space group P4/mmm (No. 123)
Inequivalent atoms, fractional coordinates:
La1 0.000 0.000 0.000 [1 per cell]
Sc1 0.000 0.500 0.500 [2 per cell]
Ge1 0.500 0.500 0.000 [1 per cell]
N1 0.000 0.000 0.500 [1 per cell]

=====

Question: What is the Fermi-level density of states in the second record?
Answer: 0.72 states/eV per atom